Entry 1:
VASP calculation (PBE-GGA) on a relaxed structure of TiGe2Rh2.

The structure belongs to space group C2/c (No. 15); the cell edges are 8.066, 9.768 and 5.505 Å and the angles 90.00°, 129.87° and 90.00°. The asymmetric unit holds Ti at (0.000, 0.080, 0.250), Ge at (0.000, 0.213, 0.750), Ge at (0.000, 0.350, 0.250) and Rh at (0.199, 0.436, 0.797).

For the total magnetization, the calculation gives 0.000 μB/f.u. Its crystal system is monoclinic. The calculation puts the total energy at -136.1 eV per cell. The value obtained for the density of states at the Fermi level is 2.39 states/eV/f.u. The value obtained for the calculated formation energy is -0.440 eV/atom.



Entry 2:
VASP calculation (PBE-GGA) on a relaxed structure of Y2TiGe3Rh4.

The structure belongs to space group P-4m2 (No. 115); the cell edges are 4.088, 4.088 and 10.766 Å and the angles 90.00°, 90.00° and 90.00°. The asymmetric unit holds Y at (0.000, 0.500, 0.240), Ti at (0.000, 0.000, 0.500), Ge at (0.000, 0.500, 0.870), Ge at (0.500, 0.500, 0.500), Rh at (0.000, 0.000, 0.000), Rh at (0.000, 0.500, 0.642) and Rh at (0.500, 0.500, 0.000).

For the total magnetization, the calculation gives 0.000 μB/f.u. Its crystal system is tetragonal. The calculation puts the total energy at -73.0 eV per cell. The value obtained for the density of states at the Fermi level is 6.28 states/eV/f.u. The value obtained for the calculated formation energy is -0.890 eV/atom.



Entry 3:
VASP calculation (PBE-GGA) on a relaxed structure of TiZnGeRh.

The structure belongs to space group F-43m (No. 216); the cell edges are 6.186, 6.186 and 6.186 Å and the angles 90.00°, 90.00° and 90.00°. The asymmetric unit holds Ti at (0.000, 0.000, 0.000), Zn at (0.250, 0.250, 0.750), Ge at (0.250, 0.250, 0.250) and Rh at (0.000, 0.000, 0.500).

For the total magnetization, the calculation gives 1.307 μB/f.u. Its crystal system is cubic. The calculation puts the total energy at -90.9 eV per cell. The value obtained for the density of states at the Fermi level is 3.75 states/eV/f.u. The value obtained for the calculated formation energy is -0.394 eV/atom.



Entry 4:
VASP calculation (PBE-GGA) on a relaxed structure of ZrTi2GeRh.

The structure belongs to space group P4/mmm (No. 123); the cell edges are 4.608, 4.608 and 4.980 Å and the angles 90.00°, 90.00° and 90.00°. The asymmetric unit holds Zr at (0.000, 0.000, 0.000), Ti at (0.000, 0.500, 0.500), Ge at (0.000, 0.000, 0.500) and Rh at (0.500, 0.500, 0.000).

For the total magnetization, the calculation gives 0.000 μB/f.u. Its crystal system is tetragonal. The calculation puts the total energy at -33.9 eV per cell. The value obtained for the density of states at the Fermi level is 9.86 states/eV/f.u. The value obtained for the calculated formation energy is 0.473 eV/atom.



Entry 5:
VASP calculation (PBE-GGA) on a relaxed structure of TlGe2Rh2.

The structure belongs to space group I4/mmm (No. 139); the cell edges are 4.324, 4.324 and 10.064 Å and the angles 90.00°, 90.00° and 90.00°. The asymmetric unit holds Tl at (0.000, 0.000, 0.000), Ge at (0.000, 0.000, 0.370) and Rh at (0.000, 0.500, 0.250).

For the total magnetization, the calculation gives 0.000 μB/f.u. Its crystal system is tetragonal. The calculation puts the total energy at -55.2 eV per cell. Its distance to the lowest polymorph of the same formula is 0 meV/atom. The value obtained for the density of states at the Fermi level is 2.66 states/eV/f.u. The value obtained for the calculated formation energy is -0.256 eV/atom.



Entry 6:
VASP calculation (PBE-GGA) on a relaxed structure of TlGe3Rh.

The structure belongs to space group Pm-3m (No. 221); the cell edges are 4.871, 4.871 and 4.871 Å and the angles 90.00°, 90.00° and 90.00°. The asymmetric unit holds Tl at (0.000, 0.000, 0.000), Ge at (0.000, 0.500, 0.500) and Rh at (0.500, 0.500, 0.500).

For the total magnetization, the calculation gives 0.000 μB/f.u. Its crystal system is cubic. The calculation puts the total energy at -22.9 eV per cell. Its distance to the lowest polymorph of the same formula is 0 meV/atom. The value obtained for the density of states at the Fermi level is 2.56 states/eV/f.u. The value obtained for the calculated formation energy is 0.135 eV/atom.